A plane-wave DFT calculation with PBE was carried out for a geometry-optimized LaY3P structure.

a = 5.521 Å, b = 5.521 Å, c = 5.521 Å
α = 90.00°, β = 90.00°, γ = 90.00°
Space group Pm-3m (No. 221)
Unique sites:
La 0.000 0.000 0.000 x1
Y 0.000 0.000 0.500 x3
P 0.500 0.500 0.500 x1

Properties
For the offset from the most stable computed form, the calculation gives 1.502 eV per atom.